Computed, not measured: a PBEsol-optimized structure of NbPSe2N at the meta-GGA SCAN level of DFT.

Crystal system = tetragonal

Cell and atoms, written as POSCAR:
```
NbPSe2N
1.0
3.825 0.000 0.000
0.000 5.087 0.000
0.000 0.000 5.087
P Nb Se N
1 1 2 1
Direct
0.500 0.500 0.500
0.000 0.000 0.000
0.000 0.000 0.500
0.000 0.500 0.000
0.500 0.000 0.000
```

Computed, not measured: a PBEsol-optimized structure of NbTePN2 at the meta-GGA SCAN level of DFT.

Crystal system = tetragonal

Cell and atoms, written as POSCAR:
```
NbTePN2
1.0
-0.945 3.836 0.417
-3.662 -1.026 1.148
1.795 -0.164 5.578
P Nb Te N
1 1 1 2
Direct
0.500 0.500 0.500
0.000 0.000 0.000
0.000 0.000 0.500
0.000 0.500 0.000
0.500 0.000 0.000
```

Computed, not measured: a PBEsol-optimized structure of NbPbSeN2 at the meta-GGA SCAN level of DFT.

Crystal system = tetragonal

Cell and atoms, written as POSCAR:
```
NbPbSeN2
1.0
4.192 0.000 0.000
0.000 4.192 0.000
0.000 0.000 5.378
Pb Nb Se N
1 1 1 2
Direct
0.000 0.000 0.000
0.500 0.500 0.500
0.000 0.000 0.500
0.000 0.500 0.000
0.500 0.000 0.000
```

Short version: energy relative to the elements, uncorrected = 468, 568, 1676 meV/atom, in the order given.